No. 1
A relaxed BMo crystal, computed with GGA-PBEsol.

Symmetry: I4_1/amd, No. 141
ΔH_f (0 K) in kJ/mol of formula units: -112

Unit cell a=8.7250 b=8.7250 c=8.7250 alpha=159.53 beta=159.53 gamma=29.11
Fractional coordinates of all 8 atoms:
B 0.0304 0.2804 0.7500
B 0.2804 0.0304 0.2500
B 0.7196 0.9696 0.7500
B 0.9696 0.7196 0.2500
Mo 0.1781 0.4280 0.7500
Mo 0.4280 0.1781 0.2500
Mo 0.5720 0.8220 0.7500
Mo 0.8220 0.5720 0.2500



No. 2
A relaxed BMo crystal, computed with GGA-PBEsol.

Symmetry: Cmcm, No. 63
ΔH_f (0 K) in kJ/mol of formula units: -110

Unit cell a=4.5058 b=4.5058 c=3.0704 alpha=90.00 beta=90.00 gamma=139.31
Fractional coordinates of all 4 atoms:
B 0.0603 0.9397 0.7500
B 0.9397 0.0603 0.2500
Mo 0.3555 0.6445 0.7500
Mo 0.6445 0.3555 0.2500



No. 3
A relaxed B2Mo crystal, computed with GGA-PBEsol.

Symmetry: R-3m, No. 166
ΔH_f (0 K) in kJ/mol of formula units: -147

Unit cell a=7.1410 b=7.1410 c=7.1410 alpha=24.26 beta=24.26 gamma=24.26
Fractional coordinates of all 6 atoms:
B 0.1678 0.1678 0.1678
B 0.3182 0.3182 0.3182
B 0.6818 0.6818 0.6818
B 0.8322 0.8322 0.8322
Mo 0.4245 0.4245 0.4245
Mo 0.5755 0.5755 0.5755



No. 4
A relaxed BMoN2 crystal, computed with GGA-PBEsol.

Symmetry: R-3m, No. 166
Uncorrected formation energy in eV per atom: -0.46

Unit cell a=5.6097 b=5.6097 c=5.6097 alpha=29.78 beta=29.78 gamma=29.78
Fractional coordinates of all 4 atoms:
B 0.0000 0.0000 0.0000
Mo 0.5000 0.5000 0.5000
N 0.0837 0.0837 0.0837
N 0.9163 0.9163 0.9163



No. 5
A relaxed BMoN2 crystal, computed with GGA-PBEsol.

Symmetry: R-3m, No. 166
Uncorrected formation energy in eV per atom: 0.60

Unit cell a=5.7851 b=5.7851 c=5.7851 alpha=27.02 beta=27.02 gamma=27.02
Fractional coordinates of all 4 atoms:
B 0.0000 0.0000 0.0000
Mo 0.5000 0.5000 0.5000
N 0.3839 0.3839 0.3839
N 0.6161 0.6161 0.6161



No. 6
A relaxed ZnBMoN2 crystal, computed with GGA-PBEsol.

Symmetry: P4/mmm, No. 123
Uncorrected formation energy in eV per atom: 1.34

Unit cell a=3.8018 b=3.8018 c=5.2033 alpha=90.00 beta=90.00 gamma=90.00
Fractional coordinates of all 5 atoms:
Zn 0.0000 0.0000 0.0000
B 0.5000 0.5000 0.0000
Mo 0.0000 0.0000 0.5000
N 0.0000 0.5000 0.5000
N 0.5000 0.0000 0.5000



No. 7
A relaxed NaB3Mo crystal, computed with GGA-PBEsol.

Symmetry: Pm-3m, No. 221
ΔH_f (0 K) in kJ/mol of formula units: 1388

Unit cell a=3.9071 b=3.9071 c=3.9071 alpha=90.00 beta=90.00 gamma=90.00
Fractional coordinates of all 5 atoms:
Na 0.0000 0.0000 0.0000
B 0.0000 0.0000 0.5000
B 0.0000 0.5000 0.0000
B 0.5000 0.0000 0.0000
Mo 0.5000 0.5000 0.5000



No. 8
A relaxed NaB2Mo crystal, computed with GGA-PBEsol.

Symmetry: I-42d, No. 122
ΔH_f (0 K) in kJ/mol of formula units: 414

Unit cell a=5.3826 b=5.3826 c=5.3826 alpha=111.15 beta=111.15 gamma=106.16
Fractional coordinates of all 8 atoms:
Na 0.0000 0.0000 0.0000
Na 0.7500 0.2500 0.5000
B 0.1920 0.6250 0.0670
B 0.3750 0.4420 0.5670
B 0.5580 0.1250 0.9330
B 0.8750 0.8080 0.4330
Mo 0.2500 0.7500 0.5000
Mo 0.5000 0.5000 0.0000